The following is a DFT calculation (PBEsol) of a geometry-optimized TaIn2Cl structure.

abc: 3.0196 4.9727 5.3640
angles: 90.00 90.00 90.00
With the nearest neighbours (Å) after each atom.
Space group Pmmm (No. 47)
Symmetry-distinct sites (fractional):
Ta: 0.0000 0.0000 0.0000 x1  2 Cl 2.68
In: 0.5000 0.5000 0.2478 x2  2 In 2.66-2.71
Cl: 0.0000 0.0000 0.5000 x1  2 Ta 2.68

Computed properties:
Relative energy among the computed polymorphs ... 303.1 meV/atom
ΔE_f (raw) ... 0.2206 eV per atom

The following is a DFT calculation (PBEsol) of a geometry-optimized ScTc2Br structure.

abc: 3.0577 4.9730 4.4191
angles: 90.00 91.73 90.00
With the nearest neighbours (Å) after each atom.
Space group P2/m (No. 10)
Symmetry-distinct sites (fractional):
Sc: 0.0000 0.0000 0.0000 x1  4 Br 2.65-2.72, 4 Tc 2.87
Tc: 0.3262 0.5000 0.2399 x2  2 Tc 2.40-2.50
Br: 0.5000 0.0000 0.5000 x1  4 Sc 2.65-2.72, 4 Tc 2.78

Computed properties:
Relative energy among the computed polymorphs ... 0.0 meV/atom
ΔE_f (raw) ... 0.2174 eV per atom

The following is a DFT calculation (PBEsol) of a geometry-optimized KLiS2I structure.

abc: 5.4468 5.4468 4.8581
angles: 90.00 90.00 90.00
With the nearest neighbours (Å) after each atom.
Space group P4/mmm (No. 123)
Symmetry-distinct sites (fractional):
K: 0.0000 0.0000 0.0000 x1  8 S 3.65, 4 Li 3.85
Li: 0.5000 0.5000 0.0000 x1  2 I 2.43
S: 0.0000 0.5000 0.5000 x2  2 I 2.72
I: 0.5000 0.5000 0.5000 x1  2 Li 2.43

Computed properties:
ΔE_f (raw) ... -0.2753 eV per atom

The following is a DFT calculation (PBEsol) of a geometry-optimized BeTlOs structure.

abc: 3.0830 4.8179 12.9575
angles: 90.00 90.00 90.00
With the nearest neighbours (Å) after each atom.
Space group Fmm2 (No. 42)
Symmetry-distinct sites (fractional):
Be: 0.0000 0.0000 0.0000 x4  2 Os 2.20
Tl: 0.0000 0.0000 0.3135 x4  6 Tl 2.86-3.08, 2 Be 2.87, 2 Os 2.93
Os: 0.0000 0.0000 0.6211 x4  2 Be 2.20

Computed properties:
Energy relative to the elements ... 0.77 eV/atom

The following is a DFT calculation (PBEsol) of a geometry-optimized Ce2HfS5 structure.

abc: 11.0453 8.0092 7.1609
angles: 90.00 90.00 90.00
With the nearest neighbours (Å) after each atom.
Space group Pnma (No. 62)
Symmetry-distinct sites (fractional):
Ce: 0.1707 0.0017 0.0652 x8  8 S 2.79-2.98
Hf: 0.0098 0.2500 0.5726 x4  7 S 2.53-2.67
S: 0.0040 0.2500 0.9449 x4  1 Hf 2.67, 4 Ce 2.79-2.84
S: 0.0714 0.5375 0.6832 x8  2 Hf 2.53-2.66
S: 0.1970 0.2500 0.3605 x4  1 Hf 2.57
S: 0.2125 0.7500 0.3419 x4  1 Hf 2.53

Computed properties:
ΔE_f (raw) ... -1.9087 eV per atom

The following is a DFT calculation (PBEsol) of a geometry-optimized KAl2Pt structure.

abc: 2.8382 4.2052 15.6995
angles: 90.00 90.00 90.00
With the nearest neighbours (Å) after each atom.
Space group Imm2 (No. 44)
Symmetry-distinct sites (fractional):
K: 0.0000 0.0000 0.0000 x2  2 K 2.84
Al: 0.0000 0.0000 0.6631 x2  2 Pt 2.58, 2 Al 2.84
Al: 0.0000 0.5000 0.8080 x2  4 Pt 2.54, 2 Al 2.84
Pt: 0.0000 0.5000 0.3001 x2  6 Al 2.54-2.58, 2 Pt 2.84

Computed properties:
Energy relative to the elements ... -0.25 eV/atom

The following is a DFT calculation (PBEsol) of a geometry-optimized ZrSc2Si structure.

abc: 3.0949 3.0949 29.9921
angles: 90.00 90.00 120.00
With the nearest neighbours (Å) after each atom.
Space group R-3m (No. 166, hexagonal axes)
Symmetry-distinct sites (fractional):
Zr: 0.0000 0.0000 0.0000 x3  2 Sc 2.95, 6 Zr 3.09
Sc: 0.0000 0.0000 0.0985 x6  3 Si 2.72, 1 Zr 2.95
Si: 0.0000 0.0000 0.5000 x3  6 Sc 2.72

Computed properties:
ΔE_f (raw) ... 0.0027 eV per atom

The following is a DFT calculation (PBEsol) of a geometry-optimized RbCrI3 structure.

abc: 13.6213 7.8734 13.4112
angles: 90.00 93.91 90.00
With the nearest neighbours (Å) after each atom.
Space group C2/c (No. 15)
Symmetry-distinct sites (fractional):
Rb: 0.1638 0.9996 0.3744 x8  11 I 3.80-4.19
Cr: 0.0000 0.5000 0.0000 x4  6 I 2.79-2.83
Cr: 0.0000 0.4996 0.2500 x4  6 I 2.81-2.83
I: 0.0836 0.2512 0.1319 x8  2 Cr 2.81-2.83
I: 0.0837 0.2519 0.6321 x8  2 Cr 2.81-2.82
I: 0.1660 0.4997 0.3888 x8  2 Cr 2.79-2.83

Computed properties:
ΔE_f (raw) ... -0.7072 eV per atom

Ordered VASP energy results: -4.911; -7.535; -3.002; -5.509; -7.611; -4.322; -7.009; -4.021; unit eV/atom.